KAcVS4 | Alexandria | PBE | relaxed; calculated total energy = -0.4294 Ry/atom; raw formation energy = -1.437 eV/atom; spin magnetization = 2.000 μB per cell
1.0
6.956 0.000 0.000
0.000 6.605 0.000
-2.549 0.000 8.563
K Ac V S
2 2 2 8
Cartesian
0.414 1.651 3.705
3.992 4.954 4.859
-0.588 1.651 8.106
4.994 4.954 0.457
1.502 4.954 1.643
2.904 1.651 6.920
-0.270 4.954 2.944
-1.612 4.954 8.052
2.885 0.039 1.945
2.885 3.263 1.945
1.521 3.342 6.618
1.521 6.566 6.618
6.019 1.651 0.511
4.676 1.651 5.619